Record 1
The following is a GGA-PBE calculation of a relaxed structure of Be3GeSb, from Alexandria via LeMat-Bulk.

Lattice parameters (Å, degrees): 4.632 4.632 4.632 90.00 90.00 90.00
Element x y z (fractional)
Be: 0.000 0.000 0.500
Be: 0.000 0.500 0.000
Be: 0.500 0.000 0.000
Ge: 0.500 0.500 0.500
Sb: 0.000 0.000 0.000

Output
DFT total energy: -13.38 eV/cell
DOS(E_F): 4.00 states/eV/cell
formation energy from raw total energies: 1.308 eV per atom
crystal system: cubic
volume: 99.40 Å³/f.u.

Record 2
The following is a GGA-PBE calculation of a relaxed structure of BeGe3Sb, from Alexandria via LeMat-Bulk.

Lattice parameters (Å, degrees): 5.338 5.338 5.338 90.00 90.00 90.00
Element x y z (fractional)
Be: 0.000 0.000 0.000
Ge: 0.000 0.500 0.500
Ge: 0.500 0.000 0.500
Ge: 0.500 0.500 0.000
Sb: 0.500 0.500 0.500

Output
DFT total energy: -14.55 eV/cell
DOS(E_F): 3.82 states/eV/cell
formation energy from raw total energies: 1.430 eV per atom
crystal system: cubic
volume: 152.11 Å³/f.u.

Record 3
The following is a GGA-PBE calculation of a relaxed structure of Be2GeSb, from Alexandria via LeMat-Bulk.

Lattice parameters (Å, degrees): 6.313 6.313 6.313 125.93 125.93 80.00
Element x y z (fractional)
Be: 0.107 0.625 0.982
Be: 0.375 0.357 0.482
Be: 0.643 0.125 0.018
Be: 0.875 0.893 0.518
Ge: 0.000 0.000 0.000
Ge: 0.750 0.250 0.500
Sb: 0.250 0.750 0.500
Sb: 0.500 0.500 0.000

Output
DFT total energy: -28.16 eV/cell
DOS(E_F): 4.40 states/eV/cell
formation energy from raw total energies: 0.528 eV per atom
crystal system: tetragonal
volume: 79.62 Å³/f.u.

Record 4
The following is a GGA-PBE calculation of a relaxed structure of Be2GeSb, from Alexandria via LeMat-Bulk.

Lattice parameters (Å, degrees): 4.519 4.519 4.519 60.00 60.00 60.00
Element x y z (fractional)
Be: 0.250 0.250 0.250
Be: 0.750 0.750 0.750
Ge: 0.000 0.000 0.000
Sb: 0.500 0.500 0.500

Output
DFT total energy: -13.48 eV/cell
DOS(E_F): 0.97 states/eV/cell
formation energy from raw total energies: 0.679 eV per atom
crystal system: cubic
volume: 65.23 Å³/f.u.

Record 5
The following is a GGA-PBE calculation of a relaxed structure of BeGe2Sb, from Alexandria via LeMat-Bulk.

Lattice parameters (Å, degrees): 7.063 7.063 7.063 133.05 133.05 68.57
Element x y z (fractional)
Be: 0.000 0.000 0.000
Be: 0.750 0.250 0.500
Ge: 0.057 0.625 0.932
Ge: 0.375 0.307 0.432
Ge: 0.693 0.125 0.068
Ge: 0.875 0.943 0.568
Sb: 0.250 0.750 0.500
Sb: 0.500 0.500 0.000

Output
DFT total energy: -32.30 eV/cell
DOS(E_F): 4.00 states/eV/cell
formation energy from raw total energies: 0.233 eV per atom
crystal system: tetragonal
volume: 92.37 Å³/f.u.

Record 6
The following is a GGA-PBE calculation of a relaxed structure of BeGeSb2, from Alexandria via LeMat-Bulk.

Lattice parameters (Å, degrees): 4.932 4.932 4.932 60.00 60.00 60.00
Element x y z (fractional)
Be: 0.000 0.000 0.000
Ge: 0.500 0.500 0.500
Sb: 0.250 0.250 0.250
Sb: 0.750 0.750 0.750

Output
DFT total energy: -14.38 eV/cell
DOS(E_F): 2.64 states/eV/cell
formation energy from raw total energies: 0.551 eV per atom
crystal system: cubic
volume: 84.84 Å³/f.u.

Record 7
The following is a GGA-PBE calculation of a relaxed structure of BeGeSbTe2, from Alexandria via LeMat-Bulk.

Lattice parameters (Å, degrees): 5.130 5.130 4.732 90.00 90.00 90.00
Element x y z (fractional)
Be: 0.000 0.000 0.000
Ge: 0.500 0.500 0.500
Sb: 0.000 0.000 0.500
Te: 0.000 0.500 0.000
Te: 0.500 0.000 0.000

Output
DFT total energy: -16.46 eV/cell
DOS(E_F): 3.37 states/eV/cell
formation energy from raw total energies: 0.458 eV per atom
crystal system: tetragonal
volume: 124.53 Å³/f.u.

Record 8
The following is a GGA-PBE calculation of a relaxed structure of BeGeSb2Te, from Alexandria via LeMat-Bulk.

Lattice parameters (Å, degrees): 5.361 5.361 5.330 90.00 90.00 90.00
Element x y z (fractional)
Be: 0.000 0.000 0.000
Ge: 0.500 0.500 0.500
Sb: 0.000 0.500 0.500
Sb: 0.500 0.000 0.500
Te: 0.500 0.500 0.000

Output
DFT total energy: -14.28 eV/cell
DOS(E_F): 4.87 states/eV/cell
formation energy from raw total energies: 1.090 eV per atom
crystal system: tetragonal
volume: 153.16 Å³/f.u.

Record 9
The following is a GGA-PBE calculation of a relaxed structure of BeGeSb2Te, from Alexandria via LeMat-Bulk.

Lattice parameters (Å, degrees): 4.866 4.866 5.188 90.00 90.00 90.00
Element x y z (fractional)
Be: 0.000 0.000 0.000
Ge: 0.500 0.500 0.500
Sb: 0.000 0.500 0.000
Sb: 0.500 0.000 0.000
Te: 0.000 0.000 0.500

Output
DFT total energy: -17.21 eV/cell
DOS(E_F): 2.57 states/eV/cell
formation energy from raw total energies: 0.503 eV per atom
crystal system: tetragonal
volume: 122.84 Å³/f.u.

Record 10
The following is a GGA-PBE calculation of a relaxed structure of BeGeSbTe2, from Alexandria via LeMat-Bulk.

Lattice parameters (Å, degrees): 5.358 5.358 5.409 90.00 90.00 90.00
Element x y z (fractional)
Be: 0.000 0.000 0.000
Ge: 0.500 0.500 0.500
Sb: 0.500 0.500 0.000
Te: 0.000 0.500 0.500
Te: 0.500 0.000 0.500

Output
DFT total energy: -13.63 eV/cell
DOS(E_F): 4.93 states/eV/cell
formation energy from raw total energies: 1.024 eV per atom
crystal system: tetragonal
volume: 155.27 Å³/f.u.

Record 11
The following is a GGA-PBE calculation of a relaxed structure of Be2ZnGeSb, from Alexandria via LeMat-Bulk.

Lattice parameters (Å, degrees): 4.528 4.528 5.802 90.00 90.00 90.00
Element x y z (fractional)
Be: 0.000 0.500 0.000
Be: 0.500 0.000 0.000
Zn: 0.000 0.000 0.500
Ge: 0.500 0.500 0.500
Sb: 0.500 0.500 0.000

Output
DFT total energy: -11.99 eV/cell
DOS(E_F): 2.13 states/eV/cell
formation energy from raw total energies: 1.095 eV per atom
crystal system: tetragonal
volume: 118.94 Å³/f.u.

Record 12
The following is a GGA-PBE calculation of a relaxed structure of Sc2BeGe, from Alexandria via LeMat-Bulk.

Lattice parameters (Å, degrees): 5.866 5.866 5.866 105.30 105.30 118.17
Element x y z (fractional)
Sc: 0.111 0.625 0.986
Sc: 0.375 0.361 0.486
Sc: 0.639 0.125 0.014
Sc: 0.875 0.889 0.514
Be: 0.000 0.000 0.000
Be: 0.750 0.250 0.500
Ge: 0.250 0.750 0.500
Ge: 0.500 0.500 0.000

Output
DFT total energy: -41.54 eV/cell
DOS(E_F): 6.67 states/eV/cell
energy of formation from the pure elements: 5.7 kJ/mol of atoms
crystal system: tetragonal
volume: 76.31 Å³/f.u.

Record 13
The following is a GGA-PBE calculation of a relaxed structure of ScBeGe3, from Alexandria via LeMat-Bulk.

Lattice parameters (Å, degrees): 4.520 4.520 4.520 90.00 90.00 90.00
Element x y z (fractional)
Sc: 0.000 0.000 0.000
Be: 0.500 0.500 0.500
Ge: 0.000 0.500 0.500
Ge: 0.500 0.000 0.500
Ge: 0.500 0.500 0.000

Output
DFT total energy: -22.91 eV/cell
DOS(E_F): 2.81 states/eV/cell
energy of formation from the pure elements: 19.3 kJ/mol of atoms
crystal system: cubic
volume: 92.33 Å³/f.u.

Record 14
The following is a GGA-PBE calculation of a relaxed structure of Sc2BeGe, from Alexandria via LeMat-Bulk.

Lattice parameters (Å, degrees): 9.510 9.510 9.510 19.31 19.31 19.31
Element x y z (fractional)
Sc: 0.099 0.099 0.099
Sc: 0.901 0.901 0.901
Be: 0.500 0.500 0.500
Ge: 0.000 0.000 0.000

Output
DFT total energy: -19.93 eV/cell
DOS(E_F): 4.90 states/eV/cell
energy of formation from the pure elements: 26.0 kJ/mol of atoms
crystal system: trigonal
volume: 82.23 Å³/f.u.

Record 15
The following is a GGA-PBE calculation of a relaxed structure of ScBe2Ge, from Alexandria via LeMat-Bulk.

Lattice parameters (Å, degrees): 8.282 8.282 8.282 151.56 151.56 40.65
Element x y z (fractional)
Sc: 0.375 0.625 0.750
Sc: 0.625 0.375 0.250
Be: 0.000 0.000 0.000
Be: 0.000 0.000 0.500
Be: 0.000 0.500 0.000
Be: 0.500 0.000 0.500
Ge: 0.125 0.875 0.250
Ge: 0.875 0.125 0.750

Output
DFT total energy: -36.37 eV/cell
DOS(E_F): 2.83 states/eV/cell
energy of formation from the pure elements: 5.2 kJ/mol of atoms
crystal system: tetragonal
volume: 64.28 Å³/f.u.

Record 16
The following is a GGA-PBE calculation of a relaxed structure of Sc3BeGe, from Alexandria via LeMat-Bulk.

Lattice parameters (Å, degrees): 4.715 4.715 4.715 90.00 90.00 90.00
Element x y z (fractional)
Sc: 0.000 0.000 0.500
Sc: 0.000 0.500 0.000
Sc: 0.500 0.000 0.000
Be: 0.000 0.000 0.000
Ge: 0.500 0.500 0.500

Output
DFT total energy: -27.34 eV/cell
DOS(E_F): 6.34 states/eV/cell
energy of formation from the pure elements: 0.0 kJ/mol of atoms
crystal system: cubic
volume: 104.84 Å³/f.u.

Record 17
The following is a GGA-PBE calculation of a relaxed structure of ScBeGe2, from Alexandria via LeMat-Bulk.

Lattice parameters (Å, degrees): 8.094 8.094 8.094 147.15 147.15 47.15
Element x y z (fractional)
Sc: 0.000 0.000 0.000
Sc: 0.750 0.250 0.500
Be: 0.250 0.750 0.500
Be: 0.500 0.500 0.000
Ge: 0.239 0.625 0.114
Ge: 0.375 0.489 0.614
Ge: 0.511 0.125 0.886
Ge: 0.875 0.761 0.386

Output
DFT total energy: -38.86 eV/cell
DOS(E_F): 2.85 states/eV/cell
energy of formation from the pure elements: -3.3 kJ/mol of atoms
crystal system: tetragonal
volume: 77.73 Å³/f.u.

Record 18
The following is a GGA-PBE calculation of a relaxed structure of Sc3BeGe3, from Alexandria via LeMat-Bulk.

Lattice parameters (Å, degrees): 5.398 5.398 13.134 107.64 107.64 42.80
Element x y z (fractional)
Sc: 0.020 0.020 0.381
Sc: 0.100 0.100 0.920
Sc: 0.239 0.239 0.230
Sc: 0.761 0.761 0.770
Sc: 0.900 0.900 0.080
Sc: 0.980 0.980 0.619
Be: 0.271 0.271 0.614
Be: 0.729 0.729 0.386
Ge: 0.349 0.349 0.452
Ge: 0.376 0.376 0.924
Ge: 0.479 0.479 0.766
Ge: 0.521 0.521 0.234
Ge: 0.624 0.624 0.076
Ge: 0.651 0.651 0.548

Output
DFT total energy: -82.81 eV/cell
DOS(E_F): 8.74 states/eV/cell
energy of formation from the pure elements: -66.6 kJ/mol of atoms
crystal system: monoclinic
volume: 122.95 Å³/f.u.

Record 19
The following is a GGA-PBE calculation of a relaxed structure of Sc2Be2Ge3, from Alexandria via LeMat-Bulk.

Lattice parameters (Å, degrees): 9.649 9.649 6.048 90.00 90.00 156.53
Element x y z (fractional)
Sc: 0.025 0.975 0.750
Sc: 0.159 0.841 0.250
Sc: 0.841 0.159 0.750
Sc: 0.975 0.025 0.250
Be: 0.301 0.699 0.054
Be: 0.301 0.699 0.446
Be: 0.699 0.301 0.554
Be: 0.699 0.301 0.946
Ge: 0.218 0.782 0.750
Ge: 0.424 0.576 0.536
Ge: 0.424 0.576 0.964
Ge: 0.576 0.424 0.036
Ge: 0.576 0.424 0.464
Ge: 0.782 0.218 0.250

Output
DFT total energy: -73.19 eV/cell
DOS(E_F): 3.56 states/eV/cell
energy of formation from the pure elements: -36.2 kJ/mol of atoms
crystal system: orthorhombic
volume: 112.12 Å³/f.u.

Record 20
The following is a GGA-PBE calculation of a relaxed structure of Sc4Be5Ge6, from Alexandria via LeMat-Bulk.

Lattice parameters (Å, degrees): 8.698 8.698 14.264 90.00 90.00 153.95
Element x y z (fractional)
Sc: 0.022 0.978 0.500
Sc: 0.030 0.970 0.764
Sc: 0.174 0.826 0.309
Sc: 0.178 0.822 0.948
Sc: 0.822 0.178 0.448
Sc: 0.826 0.174 0.809
Sc: 0.970 0.030 0.264
Sc: 0.978 0.022 0.000
Be: 0.144 0.856 0.632
Be: 0.301 0.699 0.632
Be: 0.349 0.651 0.272
Be: 0.351 0.649 0.989
Be: 0.426 0.574 0.696
Be: 0.574 0.426 0.196
Be: 0.649 0.351 0.489
Be: 0.651 0.349 0.772
Be: 0.699 0.301 0.132
Be: 0.856 0.144 0.132
Ge: 0.114 0.886 0.124
Ge: 0.218 0.782 0.499
Ge: 0.220 0.780 0.763
Ge: 0.427 0.573 0.408
Ge: 0.433 0.567 0.859
Ge: 0.438 0.562 0.133
Ge: 0.562 0.438 0.633
Ge: 0.567 0.433 0.359
Ge: 0.573 0.427 0.908
Ge: 0.780 0.220 0.263
Ge: 0.782 0.218 0.999
Ge: 0.886 0.114 0.624

Output
DFT total energy: -156.48 eV/cell
DOS(E_F): 5.58 states/eV/cell
energy of formation from the pure elements: -42.3 kJ/mol of atoms
crystal system: orthorhombic
volume: 236.99 Å³/f.u.

Record 21
The following is a GGA-PBE calculation of a relaxed structure of Sc2BeGe, from Alexandria via LeMat-Bulk.

Lattice parameters (Å, degrees): 4.587 4.587 4.587 60.00 60.00 60.00
Element x y z (fractional)
Sc: 0.250 0.250 0.250
Sc: 0.750 0.750 0.750
Be: 0.000 0.000 0.000
Ge: 0.500 0.500 0.500

Output
DFT total energy: -22.46 eV/cell
DOS(E_F): 1.76 states/eV/cell
energy of formation from the pure elements: -35.0 kJ/mol of atoms
crystal system: cubic
volume: 68.26 Å³/f.u.

Record 22
The following is a GGA-PBE calculation of a relaxed structure of ScBeGe3, from Alexandria via LeMat-Bulk.

Lattice parameters (Å, degrees): 5.115 5.115 5.115 90.00 90.00 90.00
Element x y z (fractional)
Sc: 0.000 0.000 0.000
Be: 0.500 0.500 0.500
Ge: 0.000 0.000 0.500
Ge: 0.000 0.500 0.000
Ge: 0.500 0.000 0.000

Output
DFT total energy: -18.87 eV/cell
DOS(E_F): 5.09 states/eV/cell
energy of formation from the pure elements: 97.3 kJ/mol of atoms
crystal system: cubic
volume: 133.79 Å³/f.u.

Record 23
The following is a GGA-PBE calculation of a relaxed structure of Sc2Be2Ge, from Alexandria via LeMat-Bulk.

Lattice parameters (Å, degrees): 6.177 6.177 4.047 90.00 90.00 90.00
Element x y z (fractional)
Sc: 0.171 0.329 0.000
Sc: 0.329 0.829 0.000
Sc: 0.671 0.171 0.000
Sc: 0.829 0.671 0.000
Be: 0.122 0.622 0.500
Be: 0.378 0.122 0.500
Be: 0.622 0.878 0.500
Be: 0.878 0.378 0.500
Ge: 0.000 0.000 0.500
Ge: 0.500 0.500 0.500

Output
DFT total energy: -53.17 eV/cell
DOS(E_F): 3.45 states/eV/cell
energy of formation from the pure elements: -35.7 kJ/mol of atoms
crystal system: tetragonal
volume: 77.19 Å³/f.u.

Record 24
The following is a GGA-PBE calculation of a relaxed structure of ScBe2SnGe, from Alexandria via LeMat-Bulk.

Lattice parameters (Å, degrees): 4.278 4.278 5.241 90.00 90.00 90.00
Element x y z (fractional)
Sc: 0.000 0.000 0.000
Be: 0.000 0.500 0.500
Be: 0.500 0.000 0.500
Sn: 0.500 0.500 0.000
Ge: 0.000 0.000 0.500

Output
DFT total energy: -21.11 eV/cell
DOS(E_F): 1.68 states/eV/cell
energy of formation from the pure elements: 24.9 kJ/mol of atoms
crystal system: tetragonal
volume: 95.94 Å³/f.u.

Record 25
The following is a GGA-PBE calculation of a relaxed structure of ScBeGeW2, from Alexandria via LeMat-Bulk.

Lattice parameters (Å, degrees): 4.737 4.737 4.040 90.00 90.00 90.00
Element x y z (fractional)
Sc: 0.000 0.000 0.000
Be: 0.500 0.500 0.000
Ge: 0.500 0.500 0.500
W: 0.000 0.500 0.500
W: 0.500 0.000 0.500

Output
DFT total energy: -35.62 eV/cell
DOS(E_F): 4.48 states/eV/cell
energy of formation from the pure elements: 95.7 kJ/mol of atoms
crystal system: tetragonal
volume: 90.65 Å³/f.u.